1.
This record from the Alexandria database describes an optimized crystal structure of LiCaPmNi. The functional is PBE.

Structure (POSCAR):
```
LiCaPmNi
1.0
-0.3214 2.1416 4.5508
-0.3934 -2.8790 4.1177
3.8624 -0.3332 3.2202
Li Ni Pm Ca
1 1 1 1
Direct
0.7500 0.7500 0.7500
0.2500 0.2500 0.2500
0.5000 0.5000 0.5000
0.0000 0.0000 0.0000
```

Results
**Energy of formation from the pure elements**: -0.021 eV/atom
**V**: 90.5 Å³ per cell
**Calculated total energy**: -3.63 eV/atom
**Mass density**: 4.599 Mg/m³
**Total magnetic moment**: 0.0 μB/cell

2.
This record from the Alexandria database describes an optimized crystal structure of BaCd3Se4O12. The functional is PBE.

Structure (POSCAR):
```
BaCd3Se4O12
1.0
7.2204 -0.0556 -0.0773
-1.7937 6.9943 -0.0773
-1.7937 -2.2935 6.6080
Se O Cd Ba
4 12 3 1
Direct
0.5000 0.5000 0.5000
0.9034 0.0966 0.5000
0.0966 0.5000 0.9034
0.5000 0.9034 0.0966
0.0538 0.9462 0.5000
0.6419 0.7561 0.9861
0.0139 0.2439 0.3581
0.9861 0.6419 0.7561
0.3400 0.6600 0.5000
0.5000 0.0538 0.9462
0.3581 0.0139 0.2439
0.5000 0.3400 0.6600
0.2439 0.3581 0.0139
0.6600 0.5000 0.3400
0.9462 0.5000 0.0538
0.7561 0.9861 0.6419
0.4323 0.0000 0.5677
0.0000 0.5677 0.4323
0.5677 0.4323 0.0000
0.0000 0.0000 0.0000
```

Results
**V**: 330.5 Å³ per cell
**Uncorrected formation energy**: -0.78 eV/atom
**Calculated total energy**: -4.69 eV/atom
**Mass density**: 4.936 Mg/m³
**Total magnetic moment**: 0.0 μB/cell

3.
This record from the Alexandria database describes an optimized crystal structure of SmScAg. The functional is PBE.

Structure (POSCAR):
```
SmScAg
1.0
-0.3119 -1.3160 -3.2322
2.8823 -1.9268 0.5063
-4.7317 -2.9570 3.5596
Ag Sm Sc
1 1 1
Direct
0.6824 0.6824 0.3647
0.0076 0.0076 0.0151
0.3101 0.3101 0.6202
```

Results
**Energy of formation from the pure elements**: -0.139 eV/atom
**V**: 75.3 Å³ per cell
**Calculated total energy**: -4.77 eV/atom
**Mass density**: 6.682 Mg/m³
**Total magnetic moment**: 0.6 μB/cell